1.
Ac3PrNi, relaxed, DFT GGA-PBE; energy relative to the elements = -0.05 eV/atom; crystal system = monoclinic; offset from the most stable computed form = 0.000 eV per atom
1.0
9.7625 0.0000 0.0000
0.0000 4.0552 0.0000
-4.5059 0.0000 9.2304
Ac Pr Ni
6 2 2
direct
0.0089 0.2500 0.1748
0.2404 0.7500 0.5477
0.3650 0.7500 0.2320
0.6350 0.2500 0.7680
0.7596 0.2500 0.4523
0.9911 0.7500 0.8252
0.3399 0.2500 0.9013
0.6601 0.7500 0.0987
0.4060 0.2500 0.4513
0.5940 0.7500 0.5487

2.
Li2Bi2Pt, relaxed, DFT GGA-PBE; energy relative to the elements = -0.28 eV/atom; crystal system = tetragonal; offset from the most stable computed form = 0.000 eV per atom
1.0
7.2176 0.0000 0.0000
0.0000 7.2176 0.0000
0.0000 0.0000 4.5798
Li Bi Pt
4 4 2
direct
0.1578 0.3422 0.0000
0.3422 0.8422 0.0000
0.6578 0.1578 0.0000
0.8422 0.6578 0.0000
0.1507 0.6507 0.5000
0.3493 0.1507 0.5000
0.6507 0.8493 0.5000
0.8493 0.3493 0.5000
0.0000 0.0000 0.5000
0.5000 0.5000 0.5000

3.
NiTeCl, relaxed, DFT GGA-PBE; calculated total energy = -11.6 eV per formula unit; crystal system = triclinic
1.0
4.0087 0.0000 0.0000
-0.6055 5.4695 0.0000
-0.9754 -1.4033 6.7053
Ni Te Cl
2 2 2
direct
0.0000 0.0000 0.0000
0.0628 0.5197 0.9447
0.4242 0.8253 0.7862
0.5714 0.2864 0.0930
0.1233 0.7803 0.2417
0.9090 0.3361 0.6266

4.
U3Fe5H12, relaxed, DFT GGA-PBE; calculated total energy = -115.8 eV per formula unit; crystal system = cubic
1.0
-5.5729 5.5729 5.5729
5.5729 -5.5729 5.5729
5.5729 5.5729 -5.5729
U Fe H
12 20 48
direct
0.1250 0.2500 0.3750
0.1250 0.3750 0.7500
0.2500 0.3750 0.1250
0.2500 0.8750 0.6250
0.3750 0.1250 0.2500
0.3750 0.7500 0.1250
0.6250 0.2500 0.8750
0.6250 0.8750 0.7500
0.7500 0.1250 0.3750
0.7500 0.6250 0.8750
0.8750 0.6250 0.2500
0.8750 0.7500 0.6250
0.0000 0.0000 0.0000
0.0000 0.0000 0.5000
0.0000 0.5000 0.0000
0.0000 0.5000 0.5000
0.1250 0.7500 0.8750
0.1250 0.8750 0.2500
0.2500 0.1250 0.8750
0.2500 0.6250 0.3750
0.3750 0.2500 0.6250
0.3750 0.6250 0.7500
0.5000 0.0000 0.0000
0.5000 0.0000 0.5000
0.5000 0.5000 0.0000
0.5000 0.5000 0.5000
0.6250 0.3750 0.2500
0.6250 0.7500 0.3750
0.7500 0.3750 0.6250
0.7500 0.8750 0.1250
0.8750 0.1250 0.7500
0.8750 0.2500 0.1250
0.0202 0.1942 0.1062
0.0202 0.3260 0.9140
0.0860 0.6062 0.4119
0.0860 0.9798 0.6740
0.0881 0.6942 0.6740
0.0881 0.8938 0.4140
0.1062 0.0202 0.1942
0.1062 0.5860 0.9119
0.1740 0.1942 0.5881
0.1740 0.4798 0.5860
0.1942 0.1062 0.0202
0.1942 0.5881 0.1740
0.3058 0.3260 0.9119
0.3058 0.4798 0.3938
0.3260 0.9119 0.3058
0.3260 0.9140 0.0202
0.3938 0.3058 0.4798
0.3938 0.5881 0.9140
0.4119 0.0860 0.6062
0.4119 0.8260 0.8058
0.4140 0.0881 0.8938
0.4140 0.8260 0.5202
0.4798 0.3938 0.3058
0.4798 0.5860 0.1740
0.5202 0.4140 0.8260
0.5202 0.6062 0.6942
0.5860 0.1740 0.4798
0.5860 0.9119 0.1062
0.5881 0.1740 0.1942
0.5881 0.9140 0.3938
0.6062 0.4119 0.0860
0.6062 0.6942 0.5202
0.6740 0.0860 0.9798
0.6740 0.0881 0.6942
0.6942 0.5202 0.6062
0.6942 0.6740 0.0881
0.8058 0.4119 0.8260
0.8058 0.8938 0.9798
0.8260 0.5202 0.4140
0.8260 0.8058 0.4119
0.8938 0.4140 0.0881
0.8938 0.9798 0.8058
0.9119 0.1062 0.5860
0.9119 0.3058 0.3260
0.9140 0.0202 0.3260
0.9140 0.3938 0.5881
0.9798 0.6740 0.0860
0.9798 0.8058 0.8938

5.
Ti2MnPt, relaxed, DFT GGA-PBE; energy relative to the elements = 0.03 eV/atom; crystal system = tetragonal
1.0
-1.9030 1.9030 9.1673
1.9030 -1.9030 9.1673
1.9030 1.9030 -9.1673
Ti Mn Pt
4 2 2
direct
0.1229 0.6250 0.9979
0.3750 0.3729 0.4979
0.6271 0.1250 0.0021
0.8750 0.8771 0.5021
0.0000 0.0000 0.0000
0.7500 0.2500 0.5000
0.2500 0.7500 0.5000
0.5000 0.5000 0.0000

6.
SrSc2Os, relaxed, DFT GGA-PBE; energy relative to the elements = 0.08 eV/atom; crystal system = orthorhombic; offset from the most stable computed form = 0.218 eV per atom
1.0
-1.7674 2.8311 5.0771
1.7674 -2.8311 5.0771
1.7674 2.8311 -5.0771
Sr Sc Os
1 2 1
direct
0.0000 0.0000 0.0000
0.3117 0.8117 0.5000
0.6883 0.1883 0.5000
0.5000 0.5000 0.0000

7.
SrSi2Ag, relaxed, DFT GGA-PBE; calculated total energy = -14.6 eV per formula unit; crystal system = tetragonal
1.0
-2.2283 2.2283 4.3629
2.2283 -2.2283 4.3629
2.2283 2.2283 -4.3629
Sr Si Ag
1 2 1
direct
0.0000 0.0000 0.0000
0.5000 0.5000 0.0000
0.7500 0.2500 0.5000
0.2500 0.7500 0.5000

8.
LaIrRh2, relaxed, DFT GGA-PBE; energy relative to the elements = -0.30 eV/atom; crystal system = tetragonal; offset from the most stable computed form = 0.203 eV per atom
1.0
4.1712 0.0000 0.0000
0.0000 4.1712 0.0000
0.0000 0.0000 4.0888
La Ir Rh
1 1 2
direct
0.0000 0.0000 0.0000
0.5000 0.5000 0.0000
0.0000 0.5000 0.5000
0.5000 0.0000 0.5000